No. 1
Density functional theory data (GGA-PBE) for a relaxed CsZn4Ag3I12 crystal.

Output
Raw formation energy (eV per atom): -0.49

Lattice parameters (Å, degrees): 15.9402 15.9402 11.7354 90.00 90.00 120.00
Space group R32 (No. 155, hexagonal axes)
Unique sites:
Cs  0.0000  0.0000  0.0000 x3
Zn  0.0000  0.0000  0.5000 x3
Zn  0.0000  0.4346  0.5000 x9
Ag  0.0000  0.5572  0.0000 x9
I  0.0000  0.5955  0.5000 x9
I  0.0000  0.8393  0.5000 x9
I  0.0570  0.2286  0.1745 x18

=====

No. 2
Density functional theory data (GGA-PBE) for a relaxed Mg2ScCu crystal.

Output
Total DFT energy (no corrections) (eV/atom): -3.383

Lattice parameters (Å, degrees): 6.687 6.687 6.687 90.00 90.00 90.00
Space group Fm-3m (No. 225)
Unique sites:
Mg  0.250  0.250  0.250 x8
Sc  0.000  0.000  0.000 x4
Cu  0.000  0.000  0.500 x4

=====

No. 3
Density functional theory data (GGA-PBE) for a relaxed CoTeSeN2 crystal.

Output
Raw formation energy (eV per atom): 1.12
Energy relative to the lowest polymorph listed for this composition (meV per atom): 0

Lattice parameters (Å, degrees): 3.787 3.787 5.675 90.00 90.00 90.00
Space group P4/mmm (No. 123)
Unique sites:
Co  0.000  0.000  0.000 x1
Te  0.000  0.000  0.500 x1
Se  0.500  0.500  0.500 x1
N  0.000  0.500  0.000 x2

=====

No. 4
Density functional theory data (GGA-PBE) for a relaxed Ho4TmAs5 crystal.

Output
Total DFT energy (no corrections) (eV/atom): -6.128

Lattice parameters (Å, degrees): 9.152 9.152 5.789 90.00 90.00 90.00
Space group I4/m (No. 87)
Unique sites:
Ho  0.100  0.300  0.000 x8
Tm  0.000  0.000  0.500 x2
As  0.000  0.000  0.000 x2
As  0.100  0.299  0.500 x8

=====

No. 5
Density functional theory data (GGA-PBE) for a relaxed Sm4PuSb5 crystal.

Output
Raw formation energy (eV per atom): -1.06

Lattice parameters (Å, degrees): 4.465 4.465 31.527 90.00 90.00 90.00
Space group I4/mmm (No. 139)
Unique sites:
Sm  0.000  0.000  0.100 x4
Sm  0.000  0.000  0.300 x4
Pu  0.000  0.000  0.500 x2
Sb  0.000  0.000  0.000 x2
Sb  0.000  0.000  0.200 x4
Sb  0.000  0.000  0.401 x4

=====

No. 6
Density functional theory data (GGA-PBE) for a relaxed Mo2P crystal.

Output
Energy relative to the lowest polymorph listed for this composition (meV per atom): 334

Lattice parameters (Å, degrees): 4.2945 4.2945 2.8323 90.00 90.00 120.00
Space group P-3m1 (No. 164)
Unique sites:
Mo  0.3333  0.6667  0.3083 x2
P  0.0000  0.0000  0.5000 x1

=====

No. 7
Density functional theory data (GGA-PBE) for a relaxed Cd2Sn14Au9 crystal.

Output
Total DFT energy (no corrections) (eV/atom): -3.632

Lattice parameters (Å, degrees): 8.1076 8.1076 11.6409 90.00 90.00 120.00
Space group P-3 (No. 147)
Unique sites:
Cd  0.3333  0.6667  0.2474 x2
Sn  0.0000  0.0000  0.2463 x2
Sn  0.0125  0.6636  0.9057 x6
Sn  0.0204  0.3549  0.5899 x6
Au  0.0000  0.0000  0.0000 x1
Au  0.0112  0.3316  0.3412 x6
Au  0.3333  0.6667  0.0013 x2

=====

No. 8
Density functional theory data (GGA-PBE) for a relaxed Mg2SnAs crystal.

Output
Energy relative to the lowest polymorph listed for this composition (meV per atom): 0

Lattice parameters (Å, degrees): 4.3212 4.3212 17.7588 90.00 90.00 120.00
Space group R3m (No. 160, hexagonal axes)
Unique sites:
Mg  0.0000  0.0000  0.0000 x3
Mg  0.0000  0.0000  0.1887 x3
Sn  0.0000  0.0000  0.4267 x3
As  0.0000  0.0000  0.5888 x3